A plane-wave DFT calculation with PBE was carried out for a relaxed HfNbB4 crystal.

Cell: 4.622 4.622 4.622 Å, 140.41 108.39 85.06°
Positions (direct):
Hf 0.000 0.000 0.000
Nb 0.500 0.500 0.000
B 0.084 0.750 0.334
B 0.416 0.750 0.666
B 0.584 0.250 0.334
B 0.916 0.250 0.666

offset from the most stable computed form = 0.000 eV/atom
total moment = 0.00 μB/cell



A plane-wave DFT calculation with PBE was carried out for a relaxed NdHfB4 crystal.

Cell: 3.218 3.218 7.690 Å, 90.00 90.00 120.00°
Positions (direct):
Nd 0.000 0.000 0.000
Hf 0.000 0.000 0.500
B 0.333 0.667 0.279
B 0.333 0.667 0.721
B 0.667 0.333 0.279
B 0.667 0.333 0.721

energy = -7.59 eV per atom
total moment = 0.00 μB/cell



A plane-wave DFT calculation with PBE was carried out for a relaxed HfNiB4 crystal.

Cell: 3.123 3.123 6.159 Å, 90.00 90.00 120.00°
Positions (direct):
Hf 0.000 0.000 0.000
Ni 0.000 0.000 0.500
B 0.333 0.667 0.273
B 0.333 0.667 0.727
B 0.667 0.333 0.273
B 0.667 0.333 0.727

offset from the most stable computed form = 0.000 eV/atom
total moment = 0.00 μB/cell



A plane-wave DFT calculation with PBE was carried out for a relaxed Hf2NiB crystal.

Cell: 4.395 4.395 4.395 Å, 60.00 60.00 60.00°
Positions (direct):
Hf 0.000 0.000 0.000
Hf 0.250 0.250 0.250
Ni 0.750 0.750 0.750
B 0.500 0.500 0.500

energy = -7.36 eV per atom
total moment = 0.56 μB/cell



A plane-wave DFT calculation with PBE was carried out for a relaxed Hf3NiB2 crystal.

Cell: 3.381 3.381 18.489 Å, 90.00 90.00 120.00°
Positions (direct):
Hf 0.000 0.000 0.000
Hf 0.000 0.000 0.500
Hf 0.333 0.667 0.150
Hf 0.333 0.667 0.350
Hf 0.667 0.333 0.650
Hf 0.667 0.333 0.850
Ni 0.000 0.000 0.250
Ni 0.000 0.000 0.750
B 0.333 0.667 0.577
B 0.333 0.667 0.923
B 0.667 0.333 0.077
B 0.667 0.333 0.423

energy = -8.48 eV per atom
total moment = 0.00 μB/cell



A plane-wave DFT calculation with PBE was carried out for a relaxed Hf3Ni2B crystal.

Cell: 6.407 4.607 5.625 Å, 76.83 44.44 58.74°
Positions (direct):
Hf 0.000 0.000 0.000
Hf 0.498 0.785 0.215
Hf 0.785 0.498 0.502
Ni 0.399 0.399 0.101
Ni 0.899 0.899 0.601
B 0.349 0.349 0.651

energy = -7.83 eV per atom
total moment = 0.01 μB/cell



A plane-wave DFT calculation with PBE was carried out for a relaxed Hf4NiB3 crystal.

Cell: 3.410 3.410 23.862 Å, 90.00 90.00 120.00°
Positions (direct):
Hf 0.000 0.000 0.173
Hf 0.000 0.000 0.327
Hf 0.000 0.000 0.673
Hf 0.000 0.000 0.827
Hf 0.333 0.667 0.060
Hf 0.333 0.667 0.440
Hf 0.667 0.333 0.560
Hf 0.667 0.333 0.940
Ni 0.333 0.667 0.250
Ni 0.667 0.333 0.750
B 0.000 0.000 0.000
B 0.000 0.000 0.500
B 0.333 0.667 0.619
B 0.333 0.667 0.881
B 0.667 0.333 0.119
B 0.667 0.333 0.381

energy = -8.55 eV per atom
total moment = 0.00 μB/cell



A plane-wave DFT calculation with PBE was carried out for a relaxed Hf2NiB crystal.

Cell: 3.443 3.443 12.443 Å, 90.00 90.00 120.00°
Positions (direct):
Hf 0.333 0.667 0.105
Hf 0.333 0.667 0.395
Hf 0.667 0.333 0.605
Hf 0.667 0.333 0.895
Ni 0.333 0.667 0.750
Ni 0.667 0.333 0.250
B 0.000 0.000 0.000
B 0.000 0.000 0.500

energy = -8.35 eV per atom
total moment = 0.00 μB/cell



A plane-wave DFT calculation with PBE was carried out for a relaxed Hf2NiB2 crystal.

Cell: 5.914 5.914 3.477 Å, 90.00 90.00 149.23°
Positions (direct):
Hf 0.135 0.865 0.000
Hf 0.865 0.135 0.000
Ni 0.500 0.500 0.500
B 0.290 0.710 0.500
B 0.710 0.290 0.500

energy = -8.50 eV per atom
total moment = 0.00 μB/cell



A plane-wave DFT calculation with PBE was carried out for a relaxed HfNiB4 crystal.

Cell: 4.577 4.577 4.577 Å, 140.61 110.92 82.53°
Positions (direct):
Hf 0.000 0.000 0.000
Ni 0.500 0.500 0.000
B 0.063 0.740 0.322
B 0.418 0.740 0.678
B 0.582 0.260 0.322
B 0.937 0.260 0.678

offset from the most stable computed form = 0.088 eV/atom
total moment = 0.01 μB/cell



A plane-wave DFT calculation with PBE was carried out for a relaxed HfReNiB crystal.

Cell: 4.188 4.188 4.188 Å, 60.00 60.00 60.00°
Positions (direct):
Hf 0.000 0.000 0.000
Re 0.500 0.500 0.500
Ni 0.250 0.250 0.250
B 0.750 0.750 0.750

offset from the most stable computed form = 0.000 eV/atom
total moment = 0.00 μB/cell



A plane-wave DFT calculation with PBE was carried out for a relaxed HfReNiB crystal.

Cell: 4.287 4.287 4.287 Å, 60.00 60.00 60.00°
Positions (direct):
Hf 0.000 0.000 0.000
Re 0.750 0.750 0.750
Ni 0.500 0.500 0.500
B 0.250 0.250 0.250

offset from the most stable computed form = 0.620 eV/atom
total moment = 0.64 μB/cell



Copy entry 10 word for word.
A plane-wave DFT calculation with PBE was carried out for a relaxed HfNiB4 crystal.

Cell: 4.577 4.577 4.577 Å, 140.61 110.92 82.53°
Positions (direct):
Hf 0.000 0.000 0.000
Ni 0.500 0.500 0.000
B 0.063 0.740 0.322
B 0.418 0.740 0.678
B 0.582 0.260 0.322
B 0.937 0.260 0.678

offset from the most stable computed form = 0.088 eV/atom
total moment = 0.01 μB/cell



Question: Which of these has the highest total moment?
Answer: number 12